DFT (PBE) results for crystalline Tb3Al3Pt2 at its relaxed geometry.

POSCAR file:
```
Tb3Al3Pt2
1.0
5.6576 0.0000 0.0000
0.0000 8.1233 0.0000
0.0000 0.0000 15.0162
Tb Al Pt
12 12 8
direct
0.1145 0.4615 0.3887
0.6145 0.0385 0.6113
0.8855 0.5385 0.8887
0.3855 0.9615 0.1113
0.8855 0.5385 0.6113
0.3855 0.9615 0.3887
0.1145 0.4615 0.1113
0.6145 0.0385 0.8887
0.6263 0.3186 0.2500
0.1263 0.1814 0.7500
0.3737 0.6814 0.7500
0.8737 0.8186 0.2500
0.1155 0.1664 0.2500
0.6155 0.3336 0.7500
0.8845 0.8336 0.7500
0.3845 0.6664 0.2500
0.6099 0.3187 0.4653
0.1099 0.1813 0.5347
0.3901 0.6813 0.9653
0.8901 0.8187 0.0347
0.3901 0.6813 0.5347
0.8901 0.8187 0.4653
0.6099 0.3187 0.0347
0.1099 0.1813 0.9653
0.8730 0.1031 0.3932
0.3730 0.3969 0.6068
0.1270 0.8969 0.8932
0.6270 0.6031 0.1068
0.1270 0.8969 0.6068
0.6270 0.6031 0.3932
0.8730 0.1031 0.1068
0.3730 0.3969 0.8932
```

***

DFT (PBE) results for crystalline Tb2AlPt at its relaxed geometry.

POSCAR file:
```
Tb2AlPt
1.0
-1.8713 1.7436 -4.3588
-4.9332 1.0209 -0.4036
-1.5692 4.7921 -0.3392
Tb Al Pt
2 1 1
direct
0.2500 0.2500 0.2500
0.7500 0.7500 0.7500
0.0000 0.0000 0.0000
0.5000 0.5000 0.5000
```

- Offset from the most stable computed form: 0.076 eV per atom

***

no.,DFT formation energy (meV/atom)
1,-910
2,-720